1.
# Sm2HoHg3 | Alexandria | PBE-GGA | optimized geometry
data_Sm2HoHg3
_space_group_name_H-M_alt 'P -3 m 1'
_space_group_IT_number 164
_space_group_name_Hall '-P 3 2"'
_cell_length_a 5.3220
_cell_length_b 5.3220
_cell_length_c 13.0843
_cell_angle_alpha 90.00
_cell_angle_beta 90.00
_cell_angle_gamma 120.00
loop_
_atom_site_label
_atom_site_type_symbol
_atom_site_fract_x
_atom_site_fract_y
_atom_site_fract_z
Sm1 Sm 0.0000 0.0000 0.0000
Sm2 Sm 0.0000 0.0000 0.5000
Sm3 Sm 0.3333 0.6667 0.1688
Ho1 Ho 0.3333 0.6667 0.6671
Hg1 Hg 0.0000 0.0000 0.2533
Hg2 Hg 0.3333 0.6667 0.4181
Hg3 Hg 0.3333 0.6667 0.9143
# Raw total energy: -35.5 eV for the cell shown
# Density: 11.0 g cm⁻³
# Energy of formation: -2.822 eV/f.u.

=====

2.
# Sm2HoHg3 | Alexandria | PBE-GGA | optimized geometry
data_Sm2HoHg3
_space_group_name_H-M_alt 'P 4/m m m'
_space_group_IT_number 123
_space_group_name_Hall '-P 4 2'
_cell_length_a 3.7584
_cell_length_b 3.7584
_cell_length_c 11.3518
_cell_angle_alpha 90.00
_cell_angle_beta 90.00
_cell_angle_gamma 90.00
loop_
_atom_site_label
_atom_site_type_symbol
_atom_site_fract_x
_atom_site_fract_y
_atom_site_fract_z
Sm1 Sm 0.0000 0.0000 0.1694
Ho1 Ho 0.0000 0.0000 0.5000
Hg1 Hg 0.5000 0.5000 0.0000
Hg2 Hg 0.5000 0.5000 0.3428
# Raw total energy: -17.8 eV for the cell shown
# Density: 11.1 g cm⁻³
# Energy of formation: -2.841 eV/f.u.

=====

3.
# Sm2Ho3Hg4 | Alexandria | PBE-GGA | optimized geometry
data_Sm2Ho3Hg4
_space_group_name_H-M_alt 'C m c e'
_space_group_IT_number 64
_space_group_name_Hall '-C 2ac 2'
_cell_length_a 6.9689
_cell_length_b 17.8731
_cell_length_c 8.1173
_cell_angle_alpha 90.00
_cell_angle_beta 90.00
_cell_angle_gamma 90.00
loop_
_atom_site_label
_atom_site_type_symbol
_atom_site_fract_x
_atom_site_fract_y
_atom_site_fract_z
Sm1 Sm 0.0000 0.0955 0.0895
Ho1 Ho 0.0000 0.0000 0.5000
Ho2 Ho 0.2500 0.2385 0.7500
Hg1 Hg 0.0000 0.1677 0.4698
Hg2 Hg 0.2500 0.0658 0.7500
# Raw total energy: -109.9 eV for the cell shown
# Density: 10.5 g cm⁻³
# Energy of formation: -3.102 eV/f.u.

=====

4.
# SmHoHg4 | Alexandria | PBE-GGA | optimized geometry
data_SmHoHg4
_space_group_name_H-M_alt 'F -4 3 m'
_space_group_IT_number 216
_space_group_name_Hall 'F -4 2 3'
_cell_length_a 8.4402
_cell_length_b 8.4402
_cell_length_c 8.4402
_cell_angle_alpha 90.00
_cell_angle_beta 90.00
_cell_angle_gamma 90.00
loop_
_atom_site_label
_atom_site_type_symbol
_atom_site_fract_x
_atom_site_fract_y
_atom_site_fract_z
Sm1 Sm 0.0000 0.0000 0.0000
Ho1 Ho 0.2500 0.2500 0.2500
Hg1 Hg 0.1250 0.1250 0.6250
# Raw total energy: -47.1 eV for the cell shown
# Density: 12.3 g cm⁻³
# Energy of formation: -1.275 eV/f.u.

=====

5.
# SmHoHg3 | Alexandria | PBE-GGA | optimized geometry
data_SmHoHg3
_space_group_name_H-M_alt 'C m c m'
_space_group_IT_number 63
_space_group_name_Hall '-C 2c 2'
_cell_length_a 3.5946
_cell_length_b 29.0707
_cell_length_c 4.9329
_cell_angle_alpha 90.00
_cell_angle_beta 90.00
_cell_angle_gamma 90.00
loop_
_atom_site_label
_atom_site_type_symbol
_atom_site_fract_x
_atom_site_fract_y
_atom_site_fract_z
Sm1 Sm 0.0000 0.0764 0.2500
Ho1 Ho 0.0000 0.2109 0.7500
Hg1 Hg 0.0000 0.3176 0.7500
Hg2 Hg 0.0000 0.3772 0.2500
Hg3 Hg 0.0000 0.4758 0.2500
# Raw total energy: -49.1 eV for the cell shown
# Density: 11.8 g cm⁻³
# Energy of formation: -2.065 eV/f.u.

=====

6.
# SmHo2Hg6 | Alexandria | PBE-GGA | optimized geometry
data_SmHo2Hg6
_space_group_name_H-M_alt 'C 1 2/c 1'
_space_group_IT_number 15
_cell_length_a 14.4341
_cell_length_b 11.7366
_cell_length_c 5.4457
_cell_angle_alpha 90.00
_cell_angle_beta 100.00
_cell_angle_gamma 90.00
loop_
_space_group_symop_operation_xyz
'x,y,z'
'-x,-y,-z'
'-x,y,-z+1/2'
'x,-y,z+1/2'
'x+1/2,y+1/2,z'
'-x+1/2,-y+1/2,-z'
'-x+1/2,y+1/2,-z+1/2'
'x+1/2,-y+1/2,z+1/2'
loop_
_atom_site_label
_atom_site_type_symbol
_atom_site_fract_x
_atom_site_fract_y
_atom_site_fract_z
Sm1 Sm 0.0000 0.1263 0.2500
Ho1 Ho 0.1664 0.3754 0.0846
Hg1 Hg 0.0547 0.3770 0.5297
Hg2 Hg 0.1140 0.1271 0.8045
Hg3 Hg 0.2251 0.1259 0.3621
# Raw total energy: -77.0 eV for the cell shown
# Density: 12.3 g cm⁻³
# Energy of formation: -3.572 eV/f.u.

=====

7.
# SmHo3Hg4 | Alexandria | PBE-GGA | optimized geometry
data_SmHo3Hg4
_space_group_name_H-M_alt 'C 1 2/m 1'
_space_group_IT_number 12
_cell_length_a 14.4154
_cell_length_b 5.2854
_cell_length_c 5.9766
_cell_angle_alpha 90.00
_cell_angle_beta 108.62
_cell_angle_gamma 90.00
loop_
_space_group_symop_operation_xyz
'x,y,z'
'-x,-y,-z'
'-x,y,-z'
'x,-y,z'
'x+1/2,y+1/2,z'
'-x+1/2,-y+1/2,-z'
'-x+1/2,y+1/2,-z'
'x+1/2,-y+1/2,z'
loop_
_atom_site_label
_atom_site_type_symbol
_atom_site_fract_x
_atom_site_fract_y
_atom_site_fract_z
Sm1 Sm 0.0000 0.0000 0.0000
Ho1 Ho 0.0000 0.5000 0.5000
Ho2 Ho 0.1713 0.5000 0.0806
Hg1 Hg 0.1123 0.0000 0.6402
Hg2 Hg 0.2435 0.0000 0.3311
# Raw total energy: -43.9 eV for the cell shown
# Density: 11.1 g cm⁻³
# Energy of formation: -2.299 eV/f.u.

=====

8.
# Sm3Ho2Hg4 | Alexandria | PBE-GGA | optimized geometry
data_Sm3Ho2Hg4
_space_group_name_H-M_alt 'C m c e'
_space_group_IT_number 64
_space_group_name_Hall '-C 2ac 2'
_cell_length_a 6.8955
_cell_length_b 18.8444
_cell_length_c 7.9950
_cell_angle_alpha 90.00
_cell_angle_beta 90.00
_cell_angle_gamma 90.00
loop_
_atom_site_label
_atom_site_type_symbol
_atom_site_fract_x
_atom_site_fract_y
_atom_site_fract_z
Sm1 Sm 0.0000 0.0000 0.0000
Sm2 Sm 0.2500 0.2395 0.2500
Ho1 Ho 0.0000 0.0935 0.5860
Hg1 Hg 0.0000 0.1604 0.9616
Hg2 Hg 0.2500 0.0721 0.2500
# Raw total energy: -108.3 eV for the cell shown
# Density: 10.1 g cm⁻³
# Energy of formation: -2.563 eV/f.u.

=====

9.
# Sm3Ho4Hg4 | Alexandria | PBE-GGA | optimized geometry
data_Sm3Ho4Hg4
_space_group_name_H-M_alt 'I m m m'
_space_group_IT_number 71
_space_group_name_Hall '-I 2 2'
_cell_length_a 4.9572
_cell_length_b 7.8152
_cell_length_c 16.4565
_cell_angle_alpha 90.00
_cell_angle_beta 90.00
_cell_angle_gamma 90.00
loop_
_atom_site_label
_atom_site_type_symbol
_atom_site_fract_x
_atom_site_fract_y
_atom_site_fract_z
Sm1 Sm 0.0000 0.0000 0.0000
Sm2 Sm 0.0000 0.5000 0.1094
Ho1 Ho 0.0000 0.2848 0.3258
Hg1 Hg 0.0000 0.0000 0.2078
Hg2 Hg 0.0000 0.1954 0.5000
# Raw total energy: -73.4 eV for the cell shown
# Density: 10.0 g cm⁻³
# Energy of formation: -3.000 eV/f.u.

=====

10.
# SmHoHg2 | Alexandria | PBE-GGA | optimized geometry
data_SmHoHg2
_space_group_name_H-M_alt 'R 3 m'
_space_group_IT_number 160
_space_group_name_Hall 'R 3 -2"'
_cell_length_a 3.7649
_cell_length_b 3.7649
_cell_length_c 27.7713
_cell_angle_alpha 90.00
_cell_angle_beta 90.00
_cell_angle_gamma 120.00
loop_
_atom_site_label
_atom_site_type_symbol
_atom_site_fract_x
_atom_site_fract_y
_atom_site_fract_z
Sm1 Sm 0.0000 0.0000 0.0000
Ho1 Ho 0.0000 0.0000 0.8336
Hg1 Hg 0.0000 0.0000 0.2476
Hg2 Hg 0.0000 0.0000 0.4191
# Raw total energy: -33.7 eV for the cell shown
# Density: 10.5 g cm⁻³
# Energy of formation: -1.331 eV/f.u.

=====

11.
# Sm4Ho9Hg11 | Alexandria | PBE-GGA | optimized geometry
data_Sm4Ho9Hg11
_space_group_name_H-M_alt 'C m m m'
_space_group_IT_number 65
_space_group_name_Hall '-C 2 2'
_cell_length_a 15.8548
_cell_length_b 22.4270
_cell_length_c 3.5563
_cell_angle_alpha 90.00
_cell_angle_beta 90.00
_cell_angle_gamma 90.00
loop_
_atom_site_label
_atom_site_type_symbol
_atom_site_fract_x
_atom_site_fract_y
_atom_site_fract_z
Sm1 Sm 0.1627 0.0846 0.0000
Ho1 Ho 0.0000 0.0000 0.0000
Ho2 Ho 0.1121 0.4076 0.0000
Ho3 Ho 0.1159 0.2346 0.0000
Hg1 Hg 0.0000 0.1319 0.5000
Hg2 Hg 0.0000 0.3196 0.5000
Hg3 Hg 0.0000 0.5000 0.5000
Hg4 Hg 0.2137 0.5000 0.5000
Hg5 Hg 0.2307 0.3204 0.5000
# Raw total energy: -144.5 eV for the cell shown
# Density: 11.3 g cm⁻³
# Energy of formation: -8.858 eV/f.u.

=====

12.
# Sm5HoHg6 | Alexandria | PBE-GGA | optimized geometry
data_Sm5HoHg6
_space_group_name_H-M_alt 'C m m m'
_space_group_IT_number 65
_space_group_name_Hall '-C 2 2'
_cell_length_a 5.3241
_cell_length_b 16.0054
_cell_length_c 7.6091
_cell_angle_alpha 90.00
_cell_angle_beta 90.00
_cell_angle_gamma 90.00
loop_
_atom_site_label
_atom_site_type_symbol
_atom_site_fract_x
_atom_site_fract_y
_atom_site_fract_z
Sm1 Sm 0.0000 0.0000 0.0000
Sm2 Sm 0.0000 0.3318 0.0000
Sm3 Sm 0.0000 0.3335 0.5000
Ho1 Ho 0.0000 0.0000 0.5000
Hg1 Hg 0.0000 0.1638 0.2538
Hg2 Hg 0.0000 0.5000 0.2563
# Raw total energy: -71.3 eV for the cell shown
# Density: 10.9 g cm⁻³
# Energy of formation: -5.658 eV/f.u.

=====

13.
# Sm3Ho4Hg | Alexandria | PBE-GGA | optimized geometry
data_Sm3Ho4Hg
_space_group_name_H-M_alt 'P 4/m m m'
_space_group_IT_number 123
_space_group_name_Hall '-P 4 2'
_cell_length_a 3.5855
_cell_length_b 3.5855
_cell_length_c 19.0875
_cell_angle_alpha 90.00
_cell_angle_beta 90.00
_cell_angle_gamma 90.00
loop_
_atom_site_label
_atom_site_type_symbol
_atom_site_fract_x
_atom_site_fract_y
_atom_site_fract_z
Sm1 Sm 0.0000 0.0000 0.0000
Sm2 Sm 0.0000 0.0000 0.2641
Ho1 Ho 0.5000 0.5000 0.1322
Ho2 Ho 0.5000 0.5000 0.3961
Hg1 Hg 0.0000 0.0000 0.5000
# Raw total energy: -33.6 eV for the cell shown
# Density: 8.9 g cm⁻³
# Energy of formation: -0.865 eV/f.u.

=====

14.
# SmHo3Hg4 | Alexandria | PBE-GGA | optimized geometry
data_SmHo3Hg4
_space_group_name_H-M_alt 'P 4/m m m'
_space_group_IT_number 123
_space_group_name_Hall '-P 4 2'
_cell_length_a 5.2386
_cell_length_b 5.2386
_cell_length_c 7.5570
_cell_angle_alpha 90.00
_cell_angle_beta 90.00
_cell_angle_gamma 90.00
loop_
_atom_site_label
_atom_site_type_symbol
_atom_site_fract_x
_atom_site_fract_y
_atom_site_fract_z
Sm1 Sm 0.0000 0.0000 0.0000
Ho1 Ho 0.0000 0.0000 0.5000
Ho2 Ho 0.5000 0.5000 0.0000
Ho3 Ho 0.5000 0.5000 0.5000
Hg1 Hg 0.0000 0.5000 0.2578
# Raw total energy: -23.5 eV for the cell shown
# Density: 11.6 g cm⁻³
# Energy of formation: -3.812 eV/f.u.

=====

15.
# SmHoHg2 | Alexandria | PBE-GGA | optimized geometry
data_SmHoHg2
_space_group_name_H-M_alt 'P 4/m m m'
_space_group_IT_number 123
_space_group_name_Hall '-P 4 2'
_cell_length_a 3.7221
_cell_length_b 3.7221
_cell_length_c 7.6178
_cell_angle_alpha 90.00
_cell_angle_beta 90.00
_cell_angle_gamma 90.00
loop_
_atom_site_label
_atom_site_type_symbol
_atom_site_fract_x
_atom_site_fract_y
_atom_site_fract_z
Sm1 Sm 0.0000 0.0000 0.0000
Ho1 Ho 0.0000 0.0000 0.5000
Hg1 Hg 0.5000 0.5000 0.2645
# Raw total energy: -11.8 eV for the cell shown
# Density: 11.3 g cm⁻³
# Energy of formation: -1.909 eV/f.u.

=====

16.
# Sm4HoHg3 | Alexandria | PBE-GGA | optimized geometry
data_Sm4HoHg3
_space_group_name_H-M_alt 'P 4/m m m'
_space_group_IT_number 123
_space_group_name_Hall '-P 4 2'
_cell_length_a 4.9285
_cell_length_b 4.9285
_cell_length_c 9.2174
_cell_angle_alpha 90.00
_cell_angle_beta 90.00
_cell_angle_gamma 90.00
loop_
_atom_site_label
_atom_site_type_symbol
_atom_site_fract_x
_atom_site_fract_y
_atom_site_fract_z
Sm1 Sm 0.0000 0.5000 0.2340
Ho1 Ho 0.0000 0.0000 0.5000
Hg1 Hg 0.0000 0.0000 0.0000
Hg2 Hg 0.5000 0.5000 0.0000
Hg3 Hg 0.5000 0.5000 0.5000
# Raw total energy: -26.6 eV for the cell shown
# Density: 10.1 g cm⁻³
# Energy of formation: -2.274 eV/f.u.

=====

17.
# Sm3HoHg5 | Alexandria | PBE-GGA | optimized geometry
data_Sm3HoHg5
_space_group_name_H-M_alt 'P 63/m c m'
_space_group_IT_number 193
_space_group_name_Hall '-P 6c 2'
_cell_length_a 9.2051
_cell_length_b 9.2051
_cell_length_c 6.6019
_cell_angle_alpha 90.00
_cell_angle_beta 90.00
_cell_angle_gamma 120.00
loop_
_atom_site_label
_atom_site_type_symbol
_atom_site_fract_x
_atom_site_fract_y
_atom_site_fract_z
Sm1 Sm 0.0000 0.3711 0.2500
Ho1 Ho 0.0000 0.0000 0.0000
Hg1 Hg 0.0000 0.2945 0.7500
Hg2 Hg 0.3333 0.6667 0.0000
# Raw total energy: -48.1 eV for the cell shown
# Density: 11.1 g cm⁻³
# Energy of formation: -3.817 eV/f.u.

=====

18.
# Sm4Ho2Hg | Alexandria | PBE-GGA | optimized geometry
data_Sm4Ho2Hg
_space_group_name_H-M_alt 'C 1 2/m 1'
_space_group_IT_number 12
_cell_length_a 16.5204
_cell_length_b 3.5570
_cell_length_c 8.5325
_cell_angle_alpha 90.00
_cell_angle_beta 117.56
_cell_angle_gamma 90.00
loop_
_space_group_symop_operation_xyz
'x,y,z'
'-x,-y,-z'
'-x,y,-z'
'x,-y,z'
'x+1/2,y+1/2,z'
'-x+1/2,-y+1/2,-z'
'-x+1/2,y+1/2,-z'
'x+1/2,-y+1/2,z'
loop_
_atom_site_label
_atom_site_type_symbol
_atom_site_fract_x
_atom_site_fract_y
_atom_site_fract_z
Sm1 Sm 0.0832 0.0000 0.2033
Sm2 Sm 0.1299 0.5000 0.8880
Ho1 Ho 0.2158 0.0000 0.6382
Hg1 Hg 0.0000 0.0000 0.5000
# Raw total energy: -56.8 eV for the cell shown
# Density: 8.5 g cm⁻³
# Energy of formation: -0.071 eV/f.u.

=====

19.
# SmHoHg2 | Alexandria | PBE-GGA | optimized geometry
data_SmHoHg2
_space_group_name_H-M_alt 'F m -3 m'
_space_group_IT_number 225
_space_group_name_Hall '-F 4 2 3'
_cell_length_a 7.5043
_cell_length_b 7.5043
_cell_length_c 7.5043
_cell_angle_alpha 90.00
_cell_angle_beta 90.00
_cell_angle_gamma 90.00
loop_
_atom_site_label
_atom_site_type_symbol
_atom_site_fract_x
_atom_site_fract_y
_atom_site_fract_z
Sm1 Sm 0.0000 0.0000 0.0000
Ho1 Ho 0.0000 0.0000 0.5000
Hg1 Hg 0.2500 0.2500 0.2500
# Raw total energy: -47.1 eV for the cell shown
# Density: 11.3 g cm⁻³
# Energy of formation: -1.884 eV/f.u.

=====

20.
# Sm5Ho4Hg | Alexandria | PBE-GGA | optimized geometry
data_Sm5Ho4Hg
_space_group_name_H-M_alt 'P 4/m m m'
_space_group_IT_number 123
_space_group_name_Hall '-P 4 2'
_cell_length_a 3.6082
_cell_length_b 3.6082
_cell_length_c 24.1506
_cell_angle_alpha 90.00
_cell_angle_beta 90.00
_cell_angle_gamma 90.00
loop_
_atom_site_label
_atom_site_type_symbol
_atom_site_fract_x
_atom_site_fract_y
_atom_site_fract_z
Sm1 Sm 0.0000 0.0000 0.0000
Sm2 Sm 0.0000 0.0000 0.2068
Sm3 Sm 0.0000 0.0000 0.4145
Ho1 Ho 0.5000 0.5000 0.1034
Ho2 Ho 0.5000 0.5000 0.3103
Hg1 Hg 0.5000 0.5000 0.5000
# Raw total energy: -43.0 eV for the cell shown
# Density: 8.5 g cm⁻³
# Energy of formation: -0.748 eV/f.u.